4
Lattice="-2.4055 3.3579 -1.7601 -2.5046 -2.5751 -1.4898 -4.2766 -1.0260 3.8873" Properties=species:S:1:pos:R:3 comment="Y2TeRu, optimized geometry, DFT GGA-PBE" dos_ef_per_ev_cell=1.24 spacegroup="Amm2 (38)" m_tot_mub_per_cell=0.000 e_form_raw_mev_per_atom=-725 pbc="T T T"
Y -6.4308 -3.4571 2.1933
Y -3.3392 0.6422 0.0619
Ru -3.6843 -2.2981 0.6510
Te -5.9042 -0.5318 1.3275



6
Lattice="0.0000 4.3823 4.3823 4.3823 0.0000 4.3823 4.3823 4.3823 0.0000" Properties=species:S:1:pos:R:3 comment="YTe4Ru, optimized geometry, DFT GGA-PBE" dos_ef_per_ev_cell=4.35 spacegroup="F-43m (216)" m_tot_mub_per_cell=2.202 e_form_raw_mev_per_atom=659 pbc="T T T"
Y 6.5734 6.5734 6.5734
Te 3.2812 5.4834 5.4834
Te 5.4834 5.4834 3.2812
Te 5.4834 3.2812 5.4834
Te 3.2812 3.2812 3.2812
Ru 0.0000 0.0000 0.0000



20
Lattice="3.9869 0.0000 0.0000 0.0000 11.2727 -3.5981 0.0000 0.6395 12.7291" Properties=species:S:1:pos:R:3 comment="Y6Te3Ru, optimized geometry, DFT GGA-PBE" dos_ef_per_ev_cell=15.80 spacegroup="P2_1/m (11)" m_tot_mub_per_cell=0.000 e_form_raw_mev_per_atom=-819 pbc="T T T"
Y 2.9902 5.8928 6.5137
Y 0.9967 6.0194 2.6173
Y 2.9902 10.7267 -1.5780
Y 0.9967 1.1855 10.7090
Y 2.9902 4.8489 -0.1199
Y 0.9967 7.0633 9.2509
Y 2.9902 8.9599 1.2785
Y 0.9967 2.9523 7.8525
Y 2.9902 1.3337 5.2466
Y 0.9967 10.5785 3.8844
Y 2.9902 9.4360 6.8514
Y 0.9967 2.4761 2.2796
Te 2.9902 4.7362 9.5275
Te 0.9967 7.1760 -0.3965
Te 2.9902 7.8850 4.1552
Te 0.9967 4.0272 4.9758
Te 2.9902 1.8132 0.0336
Te 0.9967 10.0990 9.0974
Ru 2.9902 0.8869 8.5967
Ru 0.9967 11.0253 0.5344



24
Lattice="4.0433 0.0000 0.0000 0.0000 8.1326 0.0000 0.0000 0.0000 19.4828" Properties=species:S:1:pos:R:3 comment="Y4TeRu, optimized geometry, DFT GGA-PBE" dos_ef_per_ev_cell=23.45 polymorph_energy_mev_per_atom=0.0 spacegroup="Pnma (62)" m_tot_mub_per_cell=0.000 e_form_raw_mev_per_atom=-651 pbc="T T T"
Y 3.0325 7.0101 12.5457
Y 1.0108 1.1226 6.9372
Y 1.0108 5.1889 2.8043
Y 3.0325 2.9438 16.6786
Y 3.0325 6.9804 8.8241
Y 1.0108 1.1522 10.6588
Y 1.0108 5.2186 18.5655
Y 3.0325 2.9141 0.9173
Y 3.0325 0.0095 18.1629
Y 1.0108 8.1231 1.3200
Y 1.0108 4.0568 8.4215
Y 3.0325 4.0758 11.0614
Y 3.0325 7.7643 4.1833
Y 1.0108 0.3684 15.2996
Y 1.0108 4.4347 13.9247
Y 3.0325 3.6979 5.5582
Te 3.0325 6.0511 15.7537
Te 1.0108 2.0816 3.7291
Te 1.0108 6.1479 6.0123
Te 3.0325 1.9848 13.4705
Ru 3.0325 1.9946 8.7638
Ru 1.0108 6.1381 10.7190
Ru 1.0108 2.0718 18.5053
Ru 3.0325 6.0609 0.9776



5
Lattice="-1.1218 2.9403 4.2934 -4.4437 -1.8198 0.0852 1.6790 -3.9526 3.1457" Properties=species:S:1:pos:R:3 comment="Y2ZnTeRu, optimized geometry, DFT GGA-PBE" dos_ef_per_ev_cell=5.89 spacegroup="P4/mmm (123)" m_tot_mub_per_cell=0.000 e_form_raw_mev_per_atom=696 pbc="T T T"
Y 0.8395 -1.9763 1.5728
Y -0.5609 1.4702 2.1467
Ru -1.9433 -1.4161 3.7621
Zn 0.0000 0.0000 0.0000
Te -2.2219 -0.9099 0.0426



5
Lattice="5.6506 0.0000 0.0000 0.0000 5.6506 0.0000 0.0000 0.0000 4.6549" Properties=species:S:1:pos:R:3 comment="Y2ZrTeRu, optimized geometry, DFT GGA-PBE" dos_ef_per_ev_cell=5.08 spacegroup="P4/mmm (123)" m_tot_mub_per_cell=0.000 e_form_raw_mev_per_atom=523 pbc="T T T"
Y 0.0000 2.8253 0.0000
Y 2.8253 0.0000 0.0000
Ru 0.0000 0.0000 2.3274
Te 2.8253 2.8253 2.3274
Zr 0.0000 0.0000 0.0000



4
Lattice="-1.9136 -3.8906 -1.9057 3.6204 1.6331 -2.5800 2.0950 -1.8858 1.7461" Properties=species:S:1:pos:R:3 comment="Zn2TeRu, optimized geometry, DFT GGA-PBE" dos_ef_per_ev_cell=2.02 spacegroup="Cmmm (65)" m_tot_mub_per_cell=0.000 e_form_raw_mev_per_atom=264 pbc="T T T"
Ru 0.0907 -2.8882 -0.0798
Te 2.8577 -0.1263 -0.4169
Zn 0.0000 0.0000 0.0000
Zn 0.8534 -1.1287 -2.2429



4
Lattice="-1.3577 4.9335 -0.2752 -2.9327 1.3181 -3.9901 -0.0759 -3.6557 3.5901" Properties=species:S:1:pos:R:3 comment="ZnTeRu2, optimized geometry, DFT GGA-PBE" dos_ef_per_ev_cell=5.29 polymorph_energy_mev_per_atom=299.1 spacegroup="I-4m2 (119)" m_tot_mub_per_cell=0.002 e_form_raw_mev_per_atom=356 pbc="T T T"
Ru 0.0000 0.0000 0.0000
Ru -2.5769 0.3941 -1.2663
Te -2.1452 3.1258 -2.1326
Zn -1.7894 2.2018 0.5911



8
Lattice="7.7930 0.0000 0.0000 0.0000 7.7930 0.0000 3.8965 3.8965 2.5588" Properties=species:S:1:pos:R:3 comment="Zn2TeRu, optimized geometry, DFT GGA-PBE" dos_ef_per_ev_cell=5.98 spacegroup="I-42d (122)" m_tot_mub_per_cell=0.000 e_form_raw_mev_per_atom=406 pbc="T T T"
Ru 3.8965 3.8965 0.0000
Ru 3.8965 7.7930 1.2794
Zn 5.4931 1.9482 0.6397
Zn 2.2999 5.8447 0.6397
Zn 5.8447 6.1963 1.9191
Zn 9.7412 9.3896 1.9191
Te 0.0000 0.0000 0.0000
Te 7.7930 3.8965 1.2794



4
Lattice="8.4326 -0.0101 -0.0060 7.7944 3.2180 -0.0060 7.7944 1.5409 2.8251" Properties=species:S:1:pos:R:3 comment="Zn2TeRu, optimized geometry, DFT GGA-PBE" dos_ef_per_ev_cell=2.70 spacegroup="R3m (160)" m_tot_mub_per_cell=0.000 e_form_raw_mev_per_atom=184 pbc="T T T"
Ru 11.9702 2.3664 1.4019
Te 5.6873 1.1243 0.6660
Zn 0.2344 0.0463 0.0274
Zn 18.1402 3.5862 2.1244



4
Lattice="-0.0993 -8.9913 1.3105 0.9056 -8.9126 -1.5215 2.8310 -8.6005 0.7658" Properties=species:S:1:pos:R:3 comment="ZnTeRu2, optimized geometry, DFT GGA-PBE" dos_ef_per_ev_cell=2.48 polymorph_energy_mev_per_atom=338.3 spacegroup="R3m (160)" m_tot_mub_per_cell=0.000 e_form_raw_mev_per_atom=395 pbc="T T T"
Ru 3.6276 -26.4339 0.5532
Ru 0.9322 -6.7927 0.1422
Te 1.8500 -13.4810 0.2821
Zn 2.6834 -19.5535 0.4092



4
Lattice="4.2865 0.0000 0.0000 0.0000 3.0078 -0.0484 0.0000 -0.9278 5.4095" Properties=species:S:1:pos:R:3 comment="ZnTeRu2, optimized geometry, DFT GGA-PBE" dos_ef_per_ev_cell=4.18 polymorph_energy_mev_per_atom=322.1 spacegroup="P2/m (10)" m_tot_mub_per_cell=0.000 e_form_raw_mev_per_atom=379 pbc="T T T"
Ru 0.0000 -0.5605 5.1707
Ru 0.0000 0.6728 2.9193
Te 2.1433 0.5200 1.3403
Zn 2.1433 1.5600 4.0208



4
Lattice="-2.3969 5.9530 4.7111 -4.9384 4.1010 4.7087 -2.5587 3.5027 6.6755" Properties=species:S:1:pos:R:3 comment="ZnTeRu2, optimized geometry, DFT GGA-PBE" dos_ef_per_ev_cell=4.88 polymorph_energy_mev_per_atom=255.1 spacegroup="R-3m (166)" m_tot_mub_per_cell=0.001 e_form_raw_mev_per_atom=312 pbc="T T T"
Ru -9.8934 13.5560 16.0945
Ru -4.9475 6.7791 8.0485
Te -2.4735 3.3892 4.0238
Zn -7.4204 10.1675 12.0715



4
Lattice="6.1071 0.5003 -0.0603 3.6865 4.8946 0.0603 -4.5738 -3.2839 2.4182" Properties=species:S:1:pos:R:3 comment="ZnTeRu2, optimized geometry, DFT GGA-PBE" dos_ef_per_ev_cell=2.95 polymorph_energy_mev_per_atom=187.9 spacegroup="Imm2 (44)" m_tot_mub_per_cell=0.000 e_form_raw_mev_per_atom=245 pbc="T T T"
Ru 9.3141 5.1308 0.0000
Ru 2.9709 -0.1775 1.1789
Te 5.2749 2.9057 0.0000
Zn 2.3504 2.3445 1.2392



4
Lattice="-0.1597 -1.5153 3.1354 -0.3189 -3.1191 -1.5237 5.5865 -0.5745 0.0068" Properties=species:S:1:pos:R:3 comment="Zn2TeRu, optimized geometry, DFT GGA-PBE" dos_ef_per_ev_cell=2.06 spacegroup="P4/mmm (123)" m_tot_mub_per_cell=0.000 e_form_raw_mev_per_atom=164 pbc="T T T"
Ru 1.1573 -2.4609 0.8075
Te 3.9506 -2.7481 0.8109
Zn 0.1961 -0.0202 0.0002
Zn 2.5971 -0.2671 0.0032



4
Lattice="-3.2118 0.2662 3.5817 -0.6717 -1.7456 4.4403 1.8966 3.5007 2.5924" Properties=species:S:1:pos:R:3 comment="Zn2TeRu, optimized geometry, DFT GGA-PBE" dos_ef_per_ev_cell=3.37 spacegroup="C2/m (12)" m_tot_mub_per_cell=0.000 e_form_raw_mev_per_atom=210 pbc="T T T"
Ru -1.4902 1.5160 7.9608
Te -0.4967 0.5053 2.6536
Zn 1.7293 3.2807 2.5716
Zn -0.8262 1.2307 5.3279



4
Lattice="-1.7491 -4.6432 2.5203 4.1829 1.9403 1.5963 -0.6537 1.0751 4.0528" Properties=species:S:1:pos:R:3 comment="ZnTe2Ru, optimized geometry, DFT GGA-PBE" dos_ef_per_ev_cell=3.65 spacegroup="C2/m (12)" m_tot_mub_per_cell=0.000 e_form_raw_mev_per_atom=402 pbc="T T T"
Ru 1.2169 -1.3515 2.0583
Te 0.0000 0.0000 0.0000
Te -1.2014 -1.7841 3.2866
Zn 1.7646 1.5077 2.8245



6
Lattice="0.0000 4.4370 4.4370 4.4370 0.0000 4.4370 4.4370 4.4370 0.0000" Properties=species:S:1:pos:R:3 comment="ZnTe4Ru, optimized geometry, DFT GGA-PBE" dos_ef_per_ev_cell=9.05 spacegroup="F-43m (216)" m_tot_mub_per_cell=3.077 e_form_raw_mev_per_atom=1049 pbc="T T T"
Zn 6.6555 6.6555 6.6555
Te 3.3270 5.5469 5.5469
Te 5.5469 5.5469 3.3270
Te 5.5469 3.3270 5.5469
Te 3.3270 3.3270 3.3270
Ru 0.0000 0.0000 0.0000



4
Lattice="-3.6793 -2.8463 0.3232 -0.1510 -0.1582 -3.1126 2.7353 -3.5305 0.0467" Properties=species:S:1:pos:R:3 comment="ZnTeRu2, optimized geometry, DFT GGA-PBE" dos_ef_per_ev_cell=3.53 polymorph_energy_mev_per_atom=186.3 spacegroup="Pmm2 (25)" m_tot_mub_per_cell=0.000 e_form_raw_mev_per_atom=243 pbc="T T T"
Ru -0.0787 -0.2074 -2.7228
Ru -1.2864 -2.2697 -0.9954
Te 1.3527 -1.8783 -1.1430
Zn 0.0584 -4.1820 -2.5271



4
Lattice="3.2743 0.0013 0.0000 -0.0014 3.2743 0.0000 0.0000 0.0000 7.8898" Properties=species:S:1:pos:R:3 comment="ZnTe2Ru, optimized geometry, DFT GGA-PBE" dos_ef_per_ev_cell=2.78 spacegroup="P4/mmm (123)" m_tot_mub_per_cell=0.000 e_form_raw_mev_per_atom=225 pbc="T T T"
Ru 1.6365 1.6378 5.9173
Te 0.0000 0.0000 7.5892
Te 0.0000 0.0000 4.2454
Zn 1.6365 1.6378 1.9724